1.
TbFeRe | PBE-GGA | relaxed

Values from the calculation:
Energy relative to the lowest polymorph listed for this composition in meV/atom: 381.5
Magnetization in μB/cell: 4.67
ρ in g cm⁻³: 12.19
Energy of formation from the pure elements in meV per atom: 307
N(E_F) in states/eV per cell: 6.1
V in Å³/cell: 109

Cell: 5.5106 5.5106 4.8713 Å, 115.75 115.75 58.36°
Last column: nearest neighbours and their distance in Å.
Element x y z (fractional)
Tb1 0.1216 0.1216 0.3712  3 Fe 2.85-3.09, 4 Re 2.97-2.99, 2 Tb 3.16-3.18
Tb2 0.8784 0.8784 0.6288  3 Fe 2.85-3.09, 4 Re 2.97-2.99, 2 Tb 3.16-3.18
Fe1 0.4917 0.4917 0.7425  2 Fe 2.43-2.45, 2 Re 2.54
Fe2 0.5083 0.5083 0.2575  2 Fe 2.43-2.45, 2 Re 2.54
Re1 0.0000 0.5000 0.0000  2 Fe 2.54, 2 Re 2.69
Re2 0.5000 0.0000 0.0000  2 Fe 2.54, 2 Re 2.69

---

2.
TbFe11Re | PBE-GGA | relaxed

Values from the calculation:
Magnetization in μB/cell: 21.49
ρ in g cm⁻³: 9.49
Energy of formation from the pure elements in meV per atom: -16
N(E_F) in states/eV per cell: 11.6
V in Å³/cell: 168

Cell: 6.4323 6.4323 6.4323 Å, 137.37 98.17 97.02°
Last column: nearest neighbours and their distance in Å.
Element x y z (fractional)
Tb1 0.0000 0.0000 0.0000  19 Fe 3.00-3.25, 1 Re 3.14
Fe1 0.0048 0.0048 0.4996  9 Fe 2.34-2.61, 1 Re 2.60
Fe2 0.0048 0.5052 0.0000  9 Fe 2.34-2.61, 1 Re 2.60
Fe3 0.2302 0.5072 0.7230  8 Fe 2.42-2.71, 1 Re 2.62
Fe4 0.2356 0.7356 0.5000  8 Fe 2.42-2.71, 2 Re 2.60
Fe5 0.3652 0.0063 0.3589  9 Fe 2.38-2.61
Fe6 0.5052 0.0048 0.0000  9 Fe 2.34-2.61, 1 Re 2.60
Fe7 0.5052 0.5052 0.5004  9 Fe 2.34-2.61, 1 Re 2.60
Fe8 0.6449 0.6449 0.0000  1 Re 2.36, 8 Fe 2.58-2.61
Fe9 0.6474 0.0063 0.6411  9 Fe 2.38-2.61
Fe10 0.7749 0.2749 0.5000  8 Fe 2.41-2.59
Fe11 0.7842 0.5072 0.2770  8 Fe 2.42-2.71, 1 Re 2.62
Re1 0.3685 0.3685 0.0000  9 Fe 2.36-2.62

---

3.
Fe2ReTc | PBE-GGA | relaxed

Values from the calculation:
Magnetization in μB/cell: 0.00
ρ in g cm⁻³: 13.05
Energy of formation from the pure elements in meV per atom: 84
N(E_F) in states/eV per cell: 4.0
V in Å³/cell: 50

Cell: 4.4787 4.4787 4.4787 Å, 130.78 130.78 72.16°
Last column: nearest neighbours and their distance in Å.
Element x y z (fractional)
Fe1 0.2500 0.7500 0.5000  4 Tc 2.60, 4 Re 2.60, 4 Fe 2.64
Fe2 0.7500 0.2500 0.5000  4 Tc 2.60, 4 Re 2.60, 4 Fe 2.64
Re1 0.0000 0.0000 0.0000  8 Fe 2.60, 4 Tc 2.64
Tc1 0.5000 0.5000 0.0000  8 Fe 2.60, 4 Re 2.64

---

4.
FeRe3Tc | PBE-GGA | relaxed

Values from the calculation:
Energy relative to the lowest polymorph listed for this composition in meV/atom: 0.0
Magnetization in μB/cell: 0.00
ρ in g cm⁻³: 13.75
Energy of formation from the pure elements in meV per atom: 838
N(E_F) in states/eV per cell: 3.6
V in Å³/cell: 86

Cell: 4.1308 4.1308 5.0428 Å, 90.00 90.00 90.00°
Last column: nearest neighbours and their distance in Å.
Element x y z (fractional)
Fe1 0.0000 0.0000 0.0000  5 Re 2.18-2.41
Re1 0.0000 0.0000 0.4319  1 Fe 2.18
Re2 0.0000 0.5000 0.7533  2 Fe 2.41, 2 Tc 2.58, 2 Re 2.63
Re3 0.5000 0.0000 0.7533  2 Fe 2.41, 2 Tc 2.58, 2 Re 2.63
Tc1 0.5000 0.5000 0.4452  4 Re 2.58

---

5.
FeReTc2 | PBE-GGA | relaxed

Values from the calculation:
Magnetization in μB/cell: 1.63
ρ in g cm⁻³: 13.06
Energy of formation from the pure elements in meV per atom: 100
N(E_F) in states/eV per cell: 4.1
V in Å³/cell: 56

Cell: 2.7056 3.8245 5.3830 Å, 90.00 90.00 90.00°
Last column: nearest neighbours and their distance in Å.
Element x y z (fractional)
Fe1 0.0000 0.0000 0.0000  4 Re 2.67, 6 Tc 2.68-2.70, 2 Fe 2.71
Re1 0.5000 0.5000 0.2389  6 Tc 2.59-2.80, 4 Fe 2.67, 2 Re 2.71
Tc1 0.0000 0.0000 0.5018  2 Fe 2.68-2.70, 6 Tc 2.71-2.72, 4 Re 2.74
Tc2 0.5000 0.5000 0.7583  2 Re 2.59-2.80, 4 Fe 2.68, 6 Tc 2.71-2.72

---

6.
FeRe2Tc | PBE-GGA | relaxed

Values from the calculation:
Energy relative to the lowest polymorph listed for this composition in meV/atom: 13.7
Magnetization in μB/cell: 0.56
ρ in g cm⁻³: 15.82
Energy of formation from the pure elements in meV per atom: 82
N(E_F) in states/eV per cell: 3.7
V in Å³/cell: 55

Cell: 2.6990 2.6990 7.5823 Å, 90.00 90.00 90.00°
Last column: nearest neighbours and their distance in Å.
Element x y z (fractional)
Fe1 0.0000 0.0000 0.0000  8 Re 2.60, 4 Fe 2.70
Re1 0.5000 0.5000 0.2329  4 Fe 2.60, 4 Re 2.70, 4 Tc 2.78
Re2 0.5000 0.5000 0.7671  4 Fe 2.60, 4 Re 2.70, 4 Tc 2.78
Tc1 0.0000 0.0000 0.5000  4 Tc 2.70, 8 Re 2.78

---

7.
FeReTc2 | PBE-GGA | relaxed

Values from the calculation:
Magnetization in μB/cell: 1.18
ρ in g cm⁻³: 13.17
Energy of formation from the pure elements in meV per atom: 105
N(E_F) in states/eV per cell: 3.9
V in Å³/cell: 55

Cell: 2.7015 2.7015 7.5703 Å, 90.00 90.00 90.00°
Last column: nearest neighbours and their distance in Å.
Element x y z (fractional)
Fe1 0.0000 0.0000 0.0000  8 Tc 2.61, 4 Fe 2.70
Re1 0.0000 0.0000 0.5000  4 Re 2.70, 8 Tc 2.77
Tc1 0.5000 0.5000 0.2341  4 Fe 2.61, 4 Tc 2.70, 4 Re 2.77
Tc2 0.5000 0.5000 0.7659  4 Fe 2.61, 4 Tc 2.70, 4 Re 2.77

---

8.
Fe2ReTc | PBE-GGA | relaxed

Values from the calculation:
Magnetization in μB/cell: 4.92
ρ in g cm⁻³: 12.38
Energy of formation from the pure elements in meV per atom: 77
N(E_F) in states/eV per cell: 3.5
V in Å³/cell: 53

Cell: 2.9773 2.9773 5.9903 Å, 90.00 90.00 90.00°
Last column: nearest neighbours and their distance in Å.
Element x y z (fractional)
Fe1 0.0000 0.0000 0.0000  4 Fe 2.47, 4 Tc 2.63
Fe2 0.5000 0.5000 0.2145  4 Fe 2.47, 4 Re 2.61
Re1 0.0000 0.0000 0.4715  5 Fe 2.61-2.82, 4 Tc 2.64
Tc1 0.5000 0.5000 0.7376  5 Fe 2.63-2.86, 4 Re 2.64

---

9.
Fe2ReTc | PBE-GGA | relaxed

Values from the calculation:
Magnetization in μB/cell: 5.07
ρ in g cm⁻³: 12.19
Energy of formation from the pure elements in meV per atom: 146
N(E_F) in states/eV per cell: 3.6
V in Å³/cell: 54

Cell: 2.5848 4.2339 5.0301 Å, 90.00 101.53 90.00°
Last column: nearest neighbours and their distance in Å.
Element x y z (fractional)
Fe1 0.2503 0.0000 0.2484  4 Fe 2.57-2.60, 2 Re 2.60, 2 Tc 2.61
Fe2 0.7497 0.0000 0.7516  4 Fe 2.57-2.60, 2 Re 2.60, 2 Tc 2.61
Re1 0.5000 0.5000 0.0000  2 Re 2.58, 2 Tc 2.59, 4 Fe 2.60
Tc1 0.0000 0.5000 0.5000  2 Tc 2.58, 2 Re 2.59, 4 Fe 2.61

---

10.
FeRe2Tc | PBE-GGA | relaxed

Values from the calculation:
Energy relative to the lowest polymorph listed for this composition in meV/atom: 19.2
Magnetization in μB/cell: 1.60
ρ in g cm⁻³: 15.52
Energy of formation from the pure elements in meV per atom: 88
N(E_F) in states/eV per cell: 4.0
V in Å³/cell: 56

Cell: 2.7327 2.7327 8.8497 Å, 98.91 98.91 60.00°
Last column: nearest neighbours and their distance in Å.
Element x y z (fractional)
Fe1 0.0000 0.0000 0.0000  6 Re 2.61-2.65, 6 Fe 2.73
Re1 0.4164 0.4164 0.2438  3 Fe 2.64-2.65, 6 Re 2.73, 3 Tc 2.75-2.76
Re2 0.5880 0.5880 0.7606  3 Fe 2.61-2.62, 6 Re 2.73, 3 Tc 2.74
Tc1 0.8350 0.8350 0.5036  6 Tc 2.73, 6 Re 2.74-2.76

---

11.
FeRe2Tc | PBE-GGA | relaxed

Values from the calculation:
Energy relative to the lowest polymorph listed for this composition in meV/atom: 173.8
Magnetization in μB/cell: 2.58
ρ in g cm⁻³: 15.36
Energy of formation from the pure elements in meV per atom: 243
N(E_F) in states/eV per cell: 3.0
V in Å³/cell: 57

Cell: 4.3174 4.3174 4.3174 Å, 60.00 60.00 60.00°
Last column: nearest neighbours and their distance in Å.
Element x y z (fractional)
Fe1 0.0000 0.0000 0.0000  8 Re 2.64
Re1 0.2500 0.2500 0.2500  4 Tc 2.64, 4 Fe 2.64
Re2 0.7500 0.7500 0.7500  4 Tc 2.64, 4 Fe 2.64
Tc1 0.5000 0.5000 0.5000  8 Re 2.64

---

12.
FeRe2Tc | PBE-GGA | relaxed

Values from the calculation:
Energy relative to the lowest polymorph listed for this composition in meV/atom: 33.5
Magnetization in μB/cell: 0.99
ρ in g cm⁻³: 15.74
Energy of formation from the pure elements in meV per atom: 102
N(E_F) in states/eV per cell: 3.5
V in Å³/cell: 56

Cell: 2.7076 2.7076 7.5746 Å, 90.00 90.00 90.00°
Last column: nearest neighbours and their distance in Å.
Element x y z (fractional)
Fe1 0.0000 0.0000 0.0000  4 Re 2.59, 4 Tc 2.62, 4 Fe 2.71
Re1 0.0000 0.0000 0.5014  8 Re 2.71-2.81, 4 Tc 2.76
Re2 0.5000 0.5000 0.2306  4 Fe 2.59, 8 Re 2.71-2.81
Tc1 0.5000 0.5000 0.7642  4 Fe 2.62, 4 Tc 2.71, 4 Re 2.76